First-principles (GGA-PBE) data for HoPu4Th after structural relaxation, as listed in Alexandria.

- energy of formation from the pure elements (eV/atom) = 0.21
- calculated volume (Å³/atom) = 27.4
- final energy (Ry per atom) = -0.8340

Unit cell a=6.148 b=6.148 c=6.148 alpha=60.00 beta=60.00 gamma=60.00
Last column: magnetic moment on the atom in μB.
Atoms (fractional coordinates):
Pu 0.124 0.625 0.625  5.31
Pu 0.625 0.124 0.625  5.31
Th 0.000 0.000 0.000  0.05
Pu 0.625 0.625 0.625  5.31
Pu 0.625 0.625 0.124  5.31
Ho 0.250 0.250 0.250  0.11